Entry 1:
PBE-GGA CsSm2MnTe4, optimized geometry; ΔE_f (raw) = -1.095 eV/atom; symmetry = Cmcm, No. 63; D(E_F) = 3.26 states/eV/f.u.
1.0
2.249 -7.988 0.000
2.249 7.988 0.000
0.000 0.000 15.758
Cs Sm Mn Te
2 4 2 8
Direct
0.109 0.891 0.750
0.891 0.109 0.250
0.370 0.630 0.560
0.370 0.630 0.940
0.630 0.370 0.060
0.630 0.370 0.440
0.168 0.832 0.250
0.832 0.168 0.750
0.000 0.000 0.000
0.000 0.000 0.500
0.261 0.739 0.109
0.261 0.739 0.391
0.427 0.573 0.750
0.573 0.427 0.250
0.739 0.261 0.609
0.739 0.261 0.891

***

Entry 2:
PBE-GGA LaTbLu2, optimized geometry; VASP energy = -0.168 Ha/atom; symmetry = Fm-3m, No. 225; D(E_F) = 5.27 states/eV/f.u.
1.0
0.000 4.013 4.013
4.013 0.000 4.013
4.013 4.013 0.000
La Tb Lu
1 1 2
Direct
0.000 0.000 0.000
0.500 0.500 0.500
0.250 0.250 0.250
0.750 0.750 0.750

***

Entry 3:
PBE-GGA AgTe4Mo, optimized geometry; ΔE_f (raw) = 1.037 eV/atom; symmetry = F-43m, No. 216; D(E_F) = 5.25 states/eV/f.u.
1.0
0.000 4.454 4.454
4.454 0.000 4.454
4.454 4.454 0.000
Ag Te Mo
1 4 1
Direct
0.000 0.000 0.000
0.375 0.375 0.375
0.375 0.375 0.875
0.375 0.875 0.375
0.875 0.375 0.375
0.750 0.750 0.750

***

Entry 4:
PBE-GGA BaMg3Ga, optimized geometry; VASP energy = -0.071 Ha/atom; symmetry = Pm-3m, No. 221; D(E_F) = 4.65 states/eV/f.u.
1.0
5.361 0.000 0.000
0.000 5.361 0.000
0.000 0.000 5.361
Ba Mg Ga
1 3 1
Direct
0.000 0.000 0.000
0.000 0.500 0.500
0.500 0.000 0.500
0.500 0.500 0.000
0.500 0.500 0.500

***

Entry 5:
PBE-GGA AcErCuAg, optimized geometry; VASP energy = -0.149 Ha/atom; symmetry = F-43m, No. 216; D(E_F) = 3.52 states/eV/f.u.
1.0
0.000 3.731 3.731
3.731 0.000 3.731
3.731 3.731 0.000
Ac Er Cu Ag
1 1 1 1
Direct
0.000 0.000 0.000
0.500 0.500 0.500
0.750 0.750 0.750
0.250 0.250 0.250

***

Entry 6:
PBE-GGA GdNpIrPt, optimized geometry; VASP energy = -0.407 Ha/atom; symmetry = F-43m, No. 216; D(E_F) = 8.09 states/eV/f.u.
1.0
0.000 3.473 3.473
3.473 0.000 3.473
3.473 3.473 0.000
Gd Np Ir Pt
1 1 1 1
Direct
0.000 0.000 0.000
0.500 0.500 0.500
0.750 0.750 0.750
0.250 0.250 0.250

***

Entry 7:
PBE-GGA Er2IrPb2, optimized geometry; VASP energy = -0.204 Ha/atom; symmetry = I4/mmm, No. 139; D(E_F) = 2.77 states/eV/f.u.
1.0
-1.735 1.735 10.739
1.735 -1.735 10.739
1.735 1.735 -10.739
Er Ir Pb
2 1 2
Direct
0.076 0.076 0.000
0.924 0.924 0.000
0.500 0.500 0.000
0.310 0.310 0.000
0.690 0.690 0.000

***

Entry 8:
PBE-GGA Y8Ho3Pu, optimized geometry; VASP energy = -0.222 Ha/atom; symmetry = I-42m, No. 121; D(E_F) = 16.76 states/eV/f.u.
1.0
-4.312 4.312 5.723
4.312 -4.312 5.723
4.312 4.312 -5.723
Y Ho Pu
8 3 1
Direct
0.106 0.106 0.745
0.200 0.200 0.463
0.263 0.800 0.000
0.361 0.361 0.255
0.639 0.894 0.000
0.737 0.737 0.537
0.800 0.263 0.000
0.894 0.639 0.000
0.250 0.750 0.500
0.500 0.500 0.000
0.750 0.250 0.500
0.000 0.000 0.000